No. 1
CaTaOs2: relaxed, PBEsol.

## Properties
ΔE to the lowest computed polymorph = 0.000 eV/atom
E_tot = -9.73 eV/atom
ΔE_f = 51 meV/atom
Density of states at the Fermi level = 2.90 states/eV per cell
Magnetic moment = 0.00 μB per formula unit
Theoretical density = 14.4 g cm⁻³

Unit cell a=3.1669 b=3.1669 c=6.9333 alpha=90.00 beta=90.00 gamma=90.00
With the nearest neighbours (Å) after each atom.
Space group P4/mmm (No. 123)
Unique sites:
Ca (0.0000, 0.0000, 0.0000) x1  8 Os 3.00, 4 Ca 3.17
Ta (0.0000, 0.0000, 0.5000) x1  8 Os 2.68
Os (0.5000, 0.5000, 0.2869) x2  4 Ta 2.68, 1 Os 2.95, 4 Ca 3.00

=====

No. 2
Li3CdH: relaxed, PBEsol.

## Properties
E_tot = -2.30 eV/atom
Density of states at the Fermi level = 1.89 states/eV per cell
Magnetic moment = 0.00 μB per formula unit
Theoretical density = 3.3 g cm⁻³

Unit cell a=4.0769 b=4.0769 c=4.0769 alpha=90.00 beta=90.00 gamma=90.00
With the nearest neighbours (Å) after each atom.
Space group Pm-3m (No. 221)
Unique sites:
Li (0.0000, 0.0000, 0.5000) x3  2 H 2.04
Cd (0.5000, 0.5000, 0.5000) x1  12 Li 2.88
H (0.0000, 0.0000, 0.0000) x1  6 Li 2.04

=====

No. 3
Re2TcTe: relaxed, PBEsol.

## Properties
E_tot = -9.51 eV/atom
Density of states at the Fermi level = 6.43 states/eV per cell
Magnetic moment = 0.00 μB per formula unit
Raw formation energy = 3.4 eV/f.u.
Theoretical density = 15.5 g cm⁻³

Unit cell a=3.7610 b=3.7610 c=4.5215 alpha=90.00 beta=90.00 gamma=90.00
With the nearest neighbours (Å) after each atom.
Space group P4/mmm (No. 123)
Unique sites:
Re (0.0000, 0.5000, 0.0000) x2  4 Re 2.66, 4 Tc 2.94, 4 Te 2.94
Tc (0.0000, 0.0000, 0.5000) x1  4 Te 2.66, 8 Re 2.94
Te (0.5000, 0.5000, 0.5000) x1  4 Tc 2.66, 8 Re 2.94

=====

No. 4
CoSiNi2Ir: relaxed, PBEsol.

## Properties
E_tot = -6.19 eV/atom
Density of states at the Fermi level = 4.57 states/eV per cell
Magnetic moment = 2.21 μB per formula unit
Raw formation energy = 4.7 eV/f.u.
Theoretical density = 9.6 g cm⁻³

Unit cell a=4.0972 b=4.0972 c=4.0840 alpha=90.00 beta=90.00 gamma=90.00
With the nearest neighbours (Å) after each atom.
Space group P4/mmm (No. 123)
Unique sites:
Co (0.0000, 0.0000, 0.0000) x1  2 Si 2.04, 4 Ni 2.05
Si (0.0000, 0.0000, 0.5000) x1  2 Co 2.04
Ni (0.0000, 0.5000, 0.0000) x2  2 Co 2.05
Ir (0.5000, 0.5000, 0.5000) x1  8 Ni 2.89, 4 Si 2.90

=====

No. 5
Y2MgS4: relaxed, PBEsol.

## Properties
ΔE to the lowest computed polymorph = 0.034 eV/atom
E_tot = -6.60 eV/atom
Density of states at the Fermi level = 0.00 states/eV per cell
Magnetic moment = 0.00 μB per formula unit
Raw formation energy = -13.3 eV/f.u.
Theoretical density = 4.0 g cm⁻³

Unit cell a=8.0552 b=8.0552 c=8.3773 alpha=90.00 beta=90.00 gamma=90.00
With the nearest neighbours (Å) after each atom.
Space group I-42d (No. 122)
Unique sites:
Y (0.1291, 0.2500, 0.1250) x8  6 S 2.68-2.91
Mg (0.0000, 0.0000, 0.5000) x4  4 S 2.59
S (0.0690, 0.1918, 0.8086) x16  1 Mg 2.59, 2 Y 2.68-2.73

=====

No. 6
Cu8GeSe6: relaxed, PBEsol.

## Properties
E_tot = -4.27 eV/atom
Density of states at the Fermi level = 0.83 states/eV per cell
Magnetic moment = 0.00 μB per formula unit
Raw formation energy = -1.3 eV/f.u.
Theoretical density = 6.7 g cm⁻³

Unit cell a=7.2523 b=12.5303 c=11.4238 alpha=90.00 beta=90.19 gamma=90.00
With the nearest neighbours (Å) after each atom.
Space group Cc (No. 9)
Unique sites:
Cu (0.0000, 0.0194, 0.0000) x4  4 Se 2.42-2.64, 3 Cu 2.52-2.68
Cu (0.0009, 0.0296, 0.7655) x4  3 Se 2.34-2.48, 2 Cu 2.55-2.58
Cu (0.2091, 0.0976, 0.3796) x4  3 Se 2.44-2.47, 4 Cu 2.52-2.59
Cu (0.2126, 0.2382, 0.7231) x4  3 Se 2.34-2.42
Cu (0.2800, 0.2636, 0.4958) x4  2 Se 2.40-2.41, 4 Cu 2.52-2.68
Cu (0.2844, 0.3987, 0.8721) x4  3 Se 2.42-2.46, 3 Cu 2.58-2.68
Cu (0.2992, 0.2663, 0.2619) x4  3 Se 2.34-2.52, 2 Cu 2.59-2.60
Cu (0.4902, 0.1928, 0.8685) x4  3 Se 2.41-2.46, 3 Cu 2.60-2.67
Ge (0.4892, 0.0036, 0.6121) x4  4 Se 2.34-2.37
Se (0.0150, 0.3143, 0.1587) x4  1 Ge 2.35, 3 Cu 2.41-2.45
Se (0.0415, 0.1796, 0.8843) x4  5 Cu 2.34-2.42
Se (0.2213, 0.0904, 0.1661) x4  1 Ge 2.36, 4 Cu 2.44-2.64
Se (0.2725, 0.4191, 0.6589) x4  1 Ge 2.37, 4 Cu 2.42-2.58
Se (0.4881, 0.3260, 0.0202) x4  5 Cu 2.41-2.47
Se (0.4991, 0.0002, 0.4075) x4  1 Ge 2.34, 3 Cu 2.45-2.46

=====

No. 7
YErAl6B8O24: relaxed, PBEsol.

## Properties
E_tot = -8.34 eV/atom
Density of states at the Fermi level = 0.00 states/eV per cell
Magnetic moment = 0.00 μB per formula unit
Raw formation energy = -115.1 eV/f.u.
Theoretical density = 4.1 g cm⁻³

Unit cell a=5.8792 b=9.2981 c=7.1908 alpha=90.00 beta=114.06 gamma=90.00
With the nearest neighbours (Å) after each atom.
Space group P2 (No. 3)
Unique sites:
Y (0.0000, 0.0000, 0.0000) x1  6 O 2.31-2.32
Er (0.5000, 0.4996, 0.5000) x1  6 O 2.29
Al (0.0000, 0.5556, 0.0000) x1  6 O 1.87-1.92
Al (0.1670, 0.7218, 0.7219) x2  6 O 1.86-1.93
Al (0.3336, 0.2224, 0.7774) x2  6 O 1.86-1.93
Al (0.5000, 0.0551, 0.5000) x1  6 O 1.86-1.93
B (0.0000, 0.9999, 0.5000) x1  3 O 1.39
B (0.0000, 0.4436, 0.5000) x1  3 O 1.38
B (0.1657, 0.2788, 0.2225) x2  3 O 1.37-1.38
B (0.3350, 0.7773, 0.2789) x2  3 O 1.37-1.38
B (0.5000, 0.4998, 0.0000) x1  3 O 1.38-1.39
B (0.5000, 0.9433, 0.0000) x1  3 O 1.37-1.38
O (0.0000, 0.5920, 0.5000) x1  1 B 1.38
O (0.0000, 0.8509, 0.5000) x1  1 B 1.39
O (0.0496, 0.2006, 0.8288) x2  1 B 1.37
O (0.1114, 0.7040, 0.2037) x2  1 B 1.38
O (0.1782, 0.4256, 0.2061) x2  1 B 1.37
O (0.2234, 0.0745, 0.5742) x2  1 B 1.39
O (0.2263, 0.3759, 0.5944) x2  1 B 1.38
O (0.2749, 0.8752, 0.9035) x2  1 B 1.37
O (0.2764, 0.5742, 0.9252) x2  1 B 1.39
O (0.3255, 0.9242, 0.2955) x2  1 B 1.37
O (0.3877, 0.2036, 0.2959) x2  1 B 1.38
O (0.4509, 0.6977, 0.6697) x2  1 B 1.37
O (0.5000, 0.0919, 0.0000) x1  1 B 1.38
O (0.5000, 0.3509, 0.0000) x1  1 B 1.38

=====

No. 8
LiRePb: relaxed, PBEsol.

## Properties
ΔE to the lowest computed polymorph = 0.000 eV/atom
E_tot = -5.75 eV/atom
ΔE_f = 684 meV/atom
Density of states at the Fermi level = 1.34 states/eV per cell
Magnetic moment = 0.00 μB per formula unit
Theoretical density = 13.0 g cm⁻³

Unit cell a=4.5851 b=4.5851 c=2.8045 alpha=90.00 beta=90.00 gamma=120.00
With the nearest neighbours (Å) after each atom.
Space group P3m1 (No. 156)
Unique sites:
Li (0.0000, 0.0000, 0.0000) x1  3 Pb 2.72, 2 Li 2.80, 3 Re 2.90
Re (0.3333, 0.6667, 0.5777) x1  2 Re 2.80, 3 Pb 2.83, 6 Li 2.90-3.10
Pb (0.6667, 0.3333, 0.2204) x1  3 Li 2.72, 2 Pb 2.80, 3 Re 2.83

=====

No. 9
CrAu3F: relaxed, PBEsol.

## Properties
E_tot = -4.11 eV/atom
Density of states at the Fermi level = 3.31 states/eV per cell
Magnetic moment = 4.80 μB per formula unit
Raw formation energy = 3.4 eV/f.u.
Theoretical density = 12.2 g cm⁻³

Unit cell a=4.4810 b=4.4810 c=4.4810 alpha=90.00 beta=90.00 gamma=90.00
With the nearest neighbours (Å) after each atom.
Space group Pm-3m (No. 221)
Unique sites:
Cr (0.0000, 0.0000, 0.0000) x1  12 Au 3.17
Au (0.0000, 0.5000, 0.5000) x3  2 F 2.24
F (0.5000, 0.5000, 0.5000) x1  6 Au 2.24

=====

No. 10
InRuPb: relaxed, PBEsol.

## Properties
E_tot = -5.20 eV/atom
ΔE_f = 515 meV/atom
Density of states at the Fermi level = 3.13 states/eV per cell
Magnetic moment = 0.00 μB per formula unit
Theoretical density = 11.3 g cm⁻³

Unit cell a=4.6099 b=4.6099 c=3.3743 alpha=90.00 beta=90.00 gamma=120.00
With the nearest neighbours (Å) after each atom.
Space group P3m1 (No. 156)
Unique sites:
In (0.0000, 0.0000, 0.0000) x1  3 Ru 2.66
Ru (0.3333, 0.6667, 0.0022) x1  3 In 2.66
Pb (0.6667, 0.3333, 0.5007) x1  6 Ru 3.15, 6 In 3.15, 2 Pb 3.37

=====

No. 11
Fe2AsAu: relaxed, PBEsol.

## Properties
E_tot = -6.59 eV/atom
ΔE_f = 154 meV/atom
Density of states at the Fermi level = 3.32 states/eV per cell
Magnetic moment = 4.69 μB per formula unit
Theoretical density = 11.4 g cm⁻³

Unit cell a=2.8961 b=4.0940 c=4.7025 alpha=90.00 beta=90.00 gamma=90.00
With the nearest neighbours (Å) after each atom.
Space group Pmm2 (No. 25)
Unique sites:
Fe (0.0000, 0.0000, 0.0000) x1  2 As 2.39, 2 Fe 2.45
Fe (0.0000, 0.5000, 0.2846) x1  2 Fe 2.45, 4 As 2.57, 2 Au 2.72
As (0.5000, 0.0000, 0.4045) x1  6 Fe 2.39-2.57
Au (0.5000, 0.5000, 0.7941) x1  8 Fe 2.69-2.80, 2 As 2.75, 2 Au 2.90

=====

No. 12
ScAu5: relaxed, PBEsol.

## Properties
E_tot = -4.76 eV/atom
ΔE_f = -393 meV/atom
Density of states at the Fermi level = 2.54 states/eV per cell
Magnetic moment = 0.00 μB per formula unit
Theoretical density = 16.3 g cm⁻³

Unit cell a=3.5207 b=3.5207 c=8.4854 alpha=90.00 beta=90.00 gamma=90.00
With the nearest neighbours (Å) after each atom.
Space group P4/mmm (No. 123)
Unique sites:
Sc (0.0000, 0.0000, 0.0000) x1  10 Au 2.82-2.87
Au (0.0000, 0.0000, 0.3326) x2  1 Sc 2.82, 9 Au 2.84-2.87
Au (0.5000, 0.5000, 0.1676) x2  6 Au 2.82-2.86, 4 Sc 2.87
Au (0.5000, 0.5000, 0.5000) x1  10 Au 2.82-2.87

=====

No. 13
TlZnMo2: relaxed, PBEsol.

## Properties
ΔE to the lowest computed polymorph = 0.152 eV/atom
E_tot = -6.46 eV/atom
ΔE_f = 475 meV/atom
Density of states at the Fermi level = 4.69 states/eV per cell
Magnetic moment = 0.00 μB per formula unit
Theoretical density = 11.6 g cm⁻³

Unit cell a=9.5224 b=3.2769 c=4.4602 alpha=90.00 beta=107.78 gamma=90.00
With the nearest neighbours (Å) after each atom.
Space group C2/m (No. 12)
Unique sites:
Tl (0.0000, 0.0000, 0.0000) x2  4 Zn 2.77, 6 Mo 2.88-2.96
Zn (0.0000, 0.5000, 0.5000) x2  4 Tl 2.77, 6 Mo 2.78-2.88
Mo (0.2452, 0.0000, 0.7213) x4  2 Mo 2.59, 3 Zn 2.78-2.88, 2 Tl 2.88

=====

No. 14
InSi2Sb: relaxed, PBEsol.

## Properties
ΔE to the lowest computed polymorph = 0.292 eV/atom
E_tot = -4.28 eV/atom
Density of states at the Fermi level = 8.36 states/eV per cell
Magnetic moment = 0.00 μB per formula unit
Raw formation energy = 1.9 eV/f.u.
Theoretical density = 5.9 g cm⁻³

Unit cell a=6.8980 b=6.8980 c=6.8980 alpha=90.00 beta=90.00 gamma=90.00
With the nearest neighbours (Å) after each atom.
Space group F-43m (No. 216)
Unique sites:
In (0.0000, 0.0000, 0.0000) x4  4 Si 2.99, 4 Sb 2.99
Si (0.0000, 0.0000, 0.5000) x4  4 Sb 2.99, 4 Si 2.99
Si (0.2500, 0.2500, 0.2500) x4  4 In 2.99, 4 Si 2.99
Sb (0.2500, 0.2500, 0.7500) x4  4 In 2.99, 4 Si 2.99

=====

No. 15
K2NaCd2: relaxed, PBEsol.

## Properties
E_tot = -1.19 eV/atom
ΔE_f = 22 meV/atom
Density of states at the Fermi level = 4.78 states/eV per cell
Magnetic moment = 0.00 μB per formula unit
Theoretical density = 2.9 g cm⁻³

Unit cell a=8.4118 b=8.4118 c=5.3112 alpha=90.00 beta=90.00 gamma=90.00
With the nearest neighbours (Å) after each atom.
Space group P4/mbm (No. 127)
Unique sites:
K (0.1759, 0.3241, 0.0000) x4  6 Cd 3.59-3.68
Na (0.0000, 0.0000, 0.5000) x2  4 Cd 3.35
Cd (0.1211, 0.6211, 0.5000) x4  1 Cd 2.88

=====

No. 16
BaTcPd2: relaxed, PBEsol.

## Properties
E_tot = -5.73 eV/atom
ΔE_f = 603 meV/atom
Density of states at the Fermi level = 11.61 states/eV per cell
Magnetic moment = 3.01 μB per formula unit
Theoretical density = 9.2 g cm⁻³

Unit cell a=6.8613 b=6.8613 c=6.8613 alpha=90.00 beta=90.00 gamma=90.00
With the nearest neighbours (Å) after each atom.
Space group Fm-3m (No. 225)
Unique sites:
Ba (0.0000, 0.0000, 0.0000) x4  8 Pd 2.97
Tc (0.0000, 0.0000, 0.5000) x4  8 Pd 2.97
Pd (0.2500, 0.2500, 0.2500) x8  4 Ba 2.97, 4 Tc 2.97

=====

No. 17
Ti3GaBi: relaxed, PBEsol.

## Properties
E_tot = -5.36 eV/atom
ΔE_f = 1160 meV/atom
Density of states at the Fermi level = 7.56 states/eV per cell
Magnetic moment = 2.68 μB per formula unit
Theoretical density = 5.4 g cm⁻³

Unit cell a=5.0553 b=5.0553 c=5.0553 alpha=90.00 beta=90.00 gamma=90.00
With the nearest neighbours (Å) after each atom.
Space group Pm-3m (No. 221)
Unique sites:
Ti (0.0000, 0.0000, 0.5000) x3  2 Bi 2.53
Ga (0.5000, 0.5000, 0.5000) x1  12 Ti 3.57
Bi (0.0000, 0.0000, 0.0000) x1  6 Ti 2.53

=====

No. 18
Ti7P4: relaxed, PBEsol.

## Properties
E_tot = -8.60 eV/atom
ΔE_f = -1201 meV/atom
Density of states at the Fermi level = 33.29 states/eV per cell
Magnetic moment = 0.00 μB per formula unit
Theoretical density = 4.8 g cm⁻³

Unit cell a=14.5242 b=3.3493 c=13.4684 alpha=90.00 beta=104.62 gamma=90.00
With the nearest neighbours (Å) after each atom.
Space group C2/m (No. 12)
Unique sites:
Ti (0.0000, 0.0000, 0.0000) x2  4 P 2.42-2.63
Ti (0.0000, 0.5000, 0.5000) x2  4 P 2.46-2.59, 4 Ti 2.75
Ti (0.0030, 0.0000, 0.6630) x4  5 P 2.44-2.50
Ti (0.0705, 0.5000, 0.1714) x4  4 P 2.51-2.56, 2 Ti 2.80
Ti (0.1608, 0.5000, 0.9680) x4  5 P 2.50-2.80
Ti (0.1786, 0.0000, 0.5416) x4  5 P 2.52-2.73
Ti (0.1972, 0.0000, 0.3075) x4  4 P 2.42-2.61
Ti (0.2061, 0.0000, 0.7946) x4  5 P 2.39-2.53
P (0.0617, 0.0000, 0.8492) x4  7 Ti 2.39-2.51
P (0.1276, 0.5000, 0.3960) x4  7 Ti 2.42-2.59
P (0.1297, 0.5000, 0.6583) x4  8 Ti 2.44-2.53
P (0.1774, 0.0000, 0.1095) x4  8 Ti 2.50-2.63

=====

No. 19
Ba2AuSe: relaxed, PBEsol.

## Properties
E_tot = -4.24 eV/atom
Density of states at the Fermi level = 2.57 states/eV per cell
Magnetic moment = 0.00 μB per formula unit
Raw formation energy = -4.9 eV/f.u.
Theoretical density = 6.4 g cm⁻³

Unit cell a=4.6750 b=4.6750 c=6.5365 alpha=90.00 beta=90.00 gamma=90.00
With the nearest neighbours (Å) after each atom.
Space group P4/mmm (No. 123)
Unique sites:
Ba (0.0000, 0.0000, 0.0000) x1  2 Au 3.27, 4 Se 3.31
Ba (0.5000, 0.5000, 0.5000) x1  2 Se 3.27, 4 Au 3.31
Au (0.0000, 0.0000, 0.5000) x1  6 Ba 3.27-3.31
Se (0.5000, 0.5000, 0.0000) x1  6 Ba 3.27-3.31

=====

No. 20
RbAl3Ge: relaxed, PBEsol.

## Properties
E_tot = -3.08 eV/atom
ΔE_f = 565 meV/atom
Density of states at the Fermi level = 3.58 states/eV per cell
Magnetic moment = 0.00 μB per formula unit
Theoretical density = 2.9 g cm⁻³

Unit cell a=5.1281 b=5.1281 c=5.1281 alpha=90.00 beta=90.00 gamma=90.00
With the nearest neighbours (Å) after each atom.
Space group Pm-3m (No. 221)
Unique sites:
Rb (0.0000, 0.0000, 0.0000) x1  12 Al 3.63
Al (0.0000, 0.5000, 0.5000) x3  2 Ge 2.56
Ge (0.5000, 0.5000, 0.5000) x1  6 Al 2.56

=====

No. 21
K2PS3: relaxed, PBEsol.

## Properties
E_tot = -4.49 eV/atom
Density of states at the Fermi level = 0.00 states/eV per cell
Magnetic moment = 0.00 μB per formula unit
Raw formation energy = -5.8 eV/f.u.
Theoretical density = 2.1 g cm⁻³

Unit cell a=13.2421 b=11.8470 c=8.3001 alpha=90.00 beta=91.58 gamma=90.00
With the nearest neighbours (Å) after each atom.
Space group P2_1/c (No. 14)
Unique sites:
K (0.0629, 0.1991, 0.3553) x4  7 S 3.19-3.42
K (0.2038, 0.6108, 0.7833) x4  6 S 3.16-3.37, 1 P 3.34
K (0.3212, 0.5660, 0.3355) x4  7 S 3.18-3.47, 1 P 3.50
K (0.4178, 0.2360, 0.2247) x4  6 S 3.16-3.30
P (0.0702, 0.5045, 0.4252) x4  3 S 2.01-2.04
P (0.4284, 0.5304, 0.9353) x4  3 S 2.03-2.04, 1 P 2.27
S (0.0319, 0.0461, 0.6999) x4  1 P 2.01
S (0.1096, 0.6705, 0.4365) x4  1 P 2.04
S (0.1749, 0.0963, 0.0366) x4  1 P 2.03
S (0.3177, 0.0789, 0.4973) x4  1 P 2.03
S (0.4029, 0.6891, 0.0185) x4  1 P 2.04
S (0.4558, 0.5298, 0.6959) x4  1 P 2.03

=====

No. 22
Te2HIF: relaxed, PBEsol.

## Properties
E_tot = -2.66 eV/atom
Density of states at the Fermi level = 2.97 states/eV per cell
Magnetic moment = 0.00 μB per formula unit
Theoretical density = 6.8 g cm⁻³

Unit cell a=4.4393 b=4.4393 c=4.9717 alpha=90.00 beta=90.00 gamma=90.00
With the nearest neighbours (Å) after each atom.
Space group P4/mmm (No. 123)
Unique sites:
Te (0.0000, 0.5000, 0.0000) x2  2 H 2.22
H (0.0000, 0.0000, 0.0000) x1  4 Te 2.22, 2 I 2.49
I (0.0000, 0.0000, 0.5000) x1  2 H 2.49
F (0.5000, 0.5000, 0.5000) x1  4 I 3.14, 8 Te 3.33